# 1
Computed, not measured: crystalline LaAg2Pt2 at its relaxed geometry at the PBE level of DFT.

abc: 4.021 4.021 13.159
angles: 90.00 90.00 90.00
Space group I4/mmm (No. 139)
Asymmetric unit:
La: 0.000 0.000 0.000
Ag: 0.000 0.500 0.250
Pt: 0.000 0.000 0.400

Results
**Size of the total moment**: 0.00 μB/atom
**DFT total energy**: -5.10 eV per atom
**Formation enthalpy at 0 K**: -0.558 eV/atom
**Mass density**: 11.63 Mg/m³
**ΔE to the lowest computed polymorph**: 0.00 kJ/mol of atoms



# 2
Computed, not measured: crystalline ScAlCdRh at its relaxed geometry at the PBE level of DFT.

abc: 6.514 6.514 6.514
angles: 90.00 90.00 90.00
Space group F-43m (No. 216)
Asymmetric unit:
Sc: 0.000 0.000 0.000
Al: 0.000 0.000 0.500
Cd: 0.250 0.250 0.250
Rh: 0.250 0.250 0.750

Results
**Size of the total moment**: 0.00 μB/atom
**DFT total energy**: -5.10 eV per atom
**Formation enthalpy at 0 K**: -0.516 eV/atom
**Mass density**: 6.90 Mg/m³



# 3
Computed, not measured: crystalline InCuSn at its relaxed geometry at the PBE level of DFT.

abc: 4.200 4.200 7.308
angles: 90.00 90.00 90.00
Space group P4/nmm (No. 129, origin choice 2)
Asymmetric unit:
In: 0.250 0.750 0.000
Cu: 0.250 0.250 0.258
Sn: 0.250 0.250 0.622

Results
**Size of the total moment**: 0.00 μB/atom
**DFT total energy**: -3.50 eV per atom
**Formation enthalpy at 0 K**: 0.110 eV/atom
**Mass density**: 7.65 Mg/m³



# 4
Computed, not measured: crystalline Mg5Tl2Ga2 at its relaxed geometry at the PBE level of DFT.

abc: 14.896 7.721 7.179
angles: 90.00 90.00 90.00
Space group Cmce (No. 64)
Asymmetric unit:
Mg: 0.000 0.000 0.000
Mg: 0.122 0.182 0.325
Tl: 0.219 0.000 0.000
Ga: 0.000 0.119 0.625

Results
**Size of the total moment**: 0.00 μB/atom
**DFT total energy**: -2.15 eV per atom
**Formation enthalpy at 0 K**: -0.063 eV/atom
**Mass density**: 5.39 Mg/m³



# 5
Computed, not measured: crystalline NdHo2Ga at its relaxed geometry at the PBE level of DFT.

abc: 3.4990 3.4990 33.8503
angles: 90.00 90.00 120.00
Space group R-3m (No. 166, hexagonal axes)
Asymmetric unit:
Nd: 0.0000 0.0000 0.0000
Ho: 0.0000 0.0000 0.1030
Ga: 0.0000 0.0000 0.5000

Results
**Size of the total moment**: 0.00 μB/atom
**DFT total energy**: -4.27 eV per atom
**Formation enthalpy at 0 K**: -0.032 eV/atom
**Mass density**: 7.55 Mg/m³
**ΔE to the lowest computed polymorph**: 24.64 kJ/mol of atoms



# 6
Computed, not measured: crystalline CaMg11Ag at its relaxed geometry at the PBE level of DFT.

abc: 5.757 14.591 7.796
angles: 90.00 110.30 90.00
Space group C2/m (No. 12)
Asymmetric unit:
Ca: 0.000 0.000 0.000
Mg: 0.000 0.000 0.500
Mg: 0.101 0.394 0.220
Mg: 0.179 0.174 0.358
Mg: 0.250 0.250 0.000
Ag: 0.000 0.500 0.500

Results
**Size of the total moment**: 0.00 μB/atom
**DFT total energy**: -1.78 eV per atom
**Formation enthalpy at 0 K**: -0.062 eV/atom
**Mass density**: 2.25 Mg/m³